First-principles (GGA-PBE) data for a relaxed Er2Pt5Au crystal, as listed in the Alexandria database.

Cell lengths 4.131, 5.836, 11.661 Å; angles 90.00, 90.00, 90.00 degrees
Sites, in units of the cell vectors:
Pt 0.000 0.993 0.249
Pt 0.000 0.000 0.000
Pt 0.000 0.493 0.251
Pt 0.500 0.247 0.376
Pt 0.000 0.007 0.751
Pt 0.500 0.753 0.624
Pt 0.000 0.507 0.749
Pt 0.500 0.253 0.876
Pt 0.000 0.500 0.500
Pt 0.500 0.747 0.124
Er 0.500 0.760 0.871
Er 0.500 0.240 0.129
Er 0.500 0.260 0.629
Er 0.500 0.740 0.371
Au 0.000 0.000 0.500
Au 0.000 0.500 0.000

Output
Its crystal system is orthorhombic. The calculation puts the density of states at the Fermi level at 8.06 states/eV per cell. Its electronic total energy is -101.77 eV for the cell shown. The space group is Pbam, No. 55. The volume comes out at 17.6 A^3/atom. The energy of formation from the pure elements comes out at -1.035 eV per atom.